No. 1
A plane-wave DFT calculation with PBE was carried out for crystalline Rb2Hg2PdBr4 at its relaxed geometry.

Results
E_tot, eV per atom: -2.484
Total magnetization, μB/f.u.: 0.74
Uncorrected formation energy, eV per atom: -0.881
Space group: I4/mmm, No. 139

```
Rb2Hg2PdBr4
1.0
-2.678 -2.864 -6.040
-2.521 -3.441 5.801
-1.966 6.897 0.653
Rb Hg Pd Br
2 2 1 4
direct
0.500 0.750 0.250
0.500 0.250 0.750
0.000 0.673 0.673
0.000 0.327 0.327
0.000 0.000 0.000
0.000 0.774 0.226
0.548 0.774 0.774
0.000 0.226 0.774
0.452 0.226 0.226
```

***

No. 2
A plane-wave DFT calculation with PBE was carried out for crystalline TlSn3Au3 at its relaxed geometry.

Results
E_tot, eV per atom: -3.400
Excess energy over the best structure of this formula in the dataset, kJ per mole of atoms: 12.11
Total magnetization, μB/f.u.: 0.00
Energy of formation, eV per atom: 0.058
Space group: Pm-3n, No. 223

```
TlSn3Au3
1.0
7.678 0.000 0.000
0.000 7.678 0.000
0.000 0.000 7.678
Tl Au Sn
2 6 6
direct
0.500 0.500 0.500
0.000 0.000 0.000
0.000 0.250 0.500
0.000 0.750 0.500
0.500 0.000 0.750
0.750 0.500 0.000
0.500 0.000 0.250
0.250 0.500 0.000
0.250 0.000 0.500
0.000 0.500 0.250
0.500 0.750 0.000
0.750 0.000 0.500
0.000 0.500 0.750
0.500 0.250 0.000
```

***

No. 3
A plane-wave DFT calculation with PBE was carried out for crystalline PmPt2Rh at its relaxed geometry.

Results
E_tot, eV per atom: -6.851
Total magnetization, μB/f.u.: 0.00
Energy of formation, eV per atom: -0.805
Space group: R-3m, No. 166

```
PmPt2Rh
1.0
5.158 0.000 1.640
2.318 4.607 1.640
-0.150 -0.092 9.403
Pm Pt Rh
3 6 3
direct
0.860 0.860 0.419
0.140 0.140 0.581
0.000 0.000 0.000
0.416 0.416 0.249
0.919 0.416 0.249
0.416 0.919 0.249
0.584 0.584 0.751
0.584 0.081 0.751
0.081 0.584 0.751
0.667 0.667 0.998
0.333 0.333 0.002
0.500 0.500 0.500
```

***

No. 4
A plane-wave DFT calculation with PBE was carried out for crystalline CdSiOsSe2 at its relaxed geometry.

Results
E_tot, eV per atom: -3.111
Total magnetization, μB/f.u.: 2.74
Uncorrected formation energy, eV per atom: 1.796
Space group: P4/mmm, No. 123

```
CdSiOsSe2
1.0
5.117 0.000 0.000
0.000 5.188 0.000
0.000 0.000 5.117
Si Os Se Cd
1 1 2 1
direct
0.500 0.500 0.500
0.000 0.500 0.000
0.000 0.000 0.500
0.500 0.000 0.000
0.000 0.000 0.000
```

***

No. 5
A plane-wave DFT calculation with PBE was carried out for crystalline AlB2N at its relaxed geometry.

Results
E_tot, eV per atom: -4.313
Excess energy over the best structure of this formula in the dataset, kJ per mole of atoms: 163.04
Total magnetization, μB/f.u.: 0.00
Uncorrected formation energy, eV per atom: 2.043
Space group: Fm-3m, No. 225

```
AlB2N
1.0
-0.787 -3.604 0.704
-0.755 -1.106 3.509
-3.493 -1.011 0.940
B Al N
2 1 1
direct
0.250 0.250 0.250
0.750 0.750 0.750
0.500 0.500 0.500
0.000 0.000 0.000
```

***

No. 6
A plane-wave DFT calculation with PBE was carried out for crystalline CuPBrO2 at its relaxed geometry.

Results
E_tot, eV per atom: -3.399
Excess energy over the best structure of this formula in the dataset, kJ per mole of atoms: 39.30
Total magnetization, μB/f.u.: 0.00
Uncorrected formation energy, eV per atom: 0.820
Space group: P4/mmm, No. 123

```
CuPBrO2
1.0
3.723 0.000 0.000
0.000 3.723 0.000
0.000 0.000 5.408
O P Cu Br
2 1 1 1
direct
0.000 0.500 0.000
0.500 0.000 0.000
0.000 0.000 0.500
0.500 0.500 0.500
0.000 0.000 0.000
```

***

No. 7
A plane-wave DFT calculation with PBE was carried out for crystalline LiCa3Sc at its relaxed geometry.

Results
E_tot, eV per atom: -2.386
Excess energy over the best structure of this formula in the dataset, kJ per mole of atoms: 0.00
Total magnetization, μB/f.u.: 1.89
Energy of formation, eV per atom: 0.464
Space group: Pm-3m, No. 221

```
LiCa3Sc
1.0
-4.658 2.697 -1.860
-2.412 -5.011 -1.224
-2.217 -0.213 5.241
Sc Ca Li
1 3 1
direct
0.500 0.500 0.500
0.000 0.500 0.000
0.000 0.000 0.500
0.500 0.000 0.000
0.000 0.000 0.000
```

***

No. 8
A plane-wave DFT calculation with PBE was carried out for crystalline B2PC at its relaxed geometry.

Results
E_tot, eV per atom: -6.444
Excess energy over the best structure of this formula in the dataset, kJ per mole of atoms: 46.11
Total magnetization, μB/f.u.: 0.00
Energy of formation, eV per atom: 0.554
Space group: P2/m, No. 10

```
B2PC
1.0
-1.273 -2.835 0.566
0.708 0.171 2.452
-3.917 2.980 0.923
P C B
1 1 2
direct
0.000 0.500 0.500
0.500 0.000 0.000
0.221 0.500 0.911
0.779 0.500 0.089
```

***

No. 9
A plane-wave DFT calculation with PBE was carried out for crystalline PaTcPH at its relaxed geometry.

Results
E_tot, eV per atom: -7.914
Total magnetization, μB/f.u.: 0.00
Space group: P4/nmm, No. 129

```
PaTcPH
1.0
4.086 0.000 0.000
0.000 4.086 0.000
0.000 0.000 6.817
Pa Tc P H
2 2 2 2
direct
0.500 0.000 0.672
0.000 0.500 0.328
0.500 0.500 0.000
0.000 0.000 0.000
0.000 0.500 0.807
0.500 0.000 0.193
0.000 0.000 0.500
0.500 0.500 0.500
```

***

No. 10
A plane-wave DFT calculation with PBE was carried out for crystalline Cs2K6Rb at its relaxed geometry.

Results
E_tot, eV per atom: -0.998
Excess energy over the best structure of this formula in the dataset, kJ per mole of atoms: 1.80
Total magnetization, μB/f.u.: 0.00
Energy of formation, eV per atom: 0.031
Space group: C2/m, No. 12

```
Cs2K6Rb
1.0
-6.605 -6.897 4.438
5.511 -6.944 -2.589
1.248 4.074 8.203
Cs K Rb
2 6 1
direct
0.882 0.667 0.333
0.118 0.333 0.667
0.338 0.347 0.174
0.338 0.826 0.652
0.338 0.826 0.174
0.662 0.653 0.826
0.662 0.174 0.348
0.662 0.174 0.826
0.000 0.000 0.000
```

***

No. 11
A plane-wave DFT calculation with PBE was carried out for crystalline KCdOsO6 at its relaxed geometry.

Results
E_tot, eV per atom: -5.703
Total magnetization, μB/f.u.: 1.09
Uncorrected formation energy, eV per atom: -0.926
Space group: C2, No. 5

```
KCdOsO6
1.0
-0.816 -1.133 -5.677
3.422 -3.723 -2.759
-3.403 -4.097 1.302
K Cd Os O
1 1 1 6
direct
0.989 0.022 0.000
0.668 0.665 0.500
0.322 0.356 0.500
0.045 0.366 0.320
0.391 0.042 0.691
0.589 0.366 0.680
0.072 0.570 0.718
0.358 0.570 0.282
0.567 0.042 0.309
```

***

No. 12
A plane-wave DFT calculation with PBE was carried out for crystalline AlTe2PdI at its relaxed geometry.

Results
E_tot, eV per atom: -2.840
Excess energy over the best structure of this formula in the dataset, kJ per mole of atoms: 21.39
Total magnetization, μB/f.u.: 0.00
Uncorrected formation energy, eV per atom: 0.514
Space group: P4/mmm, No. 123

```
AlTe2PdI
1.0
5.327 0.000 0.000
0.000 5.327 0.000
0.000 0.000 5.442
I Te Al Pd
1 2 1 1
direct
0.000 0.000 0.500
0.000 0.500 0.000
0.500 0.000 0.000
0.000 0.000 0.000
0.500 0.500 0.500
```

***

No. 13
A plane-wave DFT calculation with PBE was carried out for crystalline CuAgIr at its relaxed geometry.

Results
E_tot, eV per atom: -4.896
Excess energy over the best structure of this formula in the dataset, kJ per mole of atoms: 27.86
Total magnetization, μB/f.u.: 0.00
Energy of formation, eV per atom: 0.373
Space group: Imm2, No. 44

```
CuAgIr
1.0
4.985 0.026 -0.007
2.753 4.157 0.007
-3.456 -2.856 2.181
Ag Cu Ir
1 1 1
direct
0.997 0.997 0.000
0.323 0.323 0.000
0.680 0.680 0.000
```

***

No. 14
A plane-wave DFT calculation with PBE was carried out for crystalline TmHg2Pd8 at its relaxed geometry.

Results
E_tot, eV per atom: -4.641
Excess energy over the best structure of this formula in the dataset, kJ per mole of atoms: 0.00
Total magnetization, μB/f.u.: 0.00
Energy of formation, eV per atom: -0.403
Space group: C2/m, No. 12

```
TmHg2Pd8
1.0
3.992 0.000 -1.148
-0.609 6.013 -2.118
0.013 0.629 7.562
Tm Hg Pd
1 2 8
direct
0.500 0.000 0.000
0.224 0.648 0.449
0.776 0.352 0.551
0.590 0.457 0.180
0.320 0.089 0.640
0.136 0.180 0.272
0.042 0.723 0.083
0.864 0.820 0.728
0.680 0.911 0.360
0.410 0.543 0.820
0.958 0.277 0.917
```

***

No. 15
A plane-wave DFT calculation with PBE was carried out for crystalline InTcIO2 at its relaxed geometry.

Results
E_tot, eV per atom: -5.227
Excess energy over the best structure of this formula in the dataset, kJ per mole of atoms: 0.00
Total magnetization, μB/f.u.: 0.00
Uncorrected formation energy, eV per atom: -0.313
Space group: P4/mmm, No. 123

```
InTcIO2
1.0
-3.062 -1.652 -2.082
2.144 -3.412 -0.445
-2.578 -2.359 5.663
I Tc O In
1 1 2 1
direct
0.000 0.000 0.500
0.000 0.000 0.000
0.000 0.500 0.000
0.500 0.000 0.000
0.500 0.500 0.500
```

***

No. 16
A plane-wave DFT calculation with PBE was carried out for crystalline ZrSbPd4 at its relaxed geometry.

Results
E_tot, eV per atom: -6.196
Total magnetization, μB/f.u.: 0.00
Uncorrected formation energy, eV per atom: -0.623
Space group: Cmmm, No. 65

```
ZrSbPd4
1.0
8.731 0.000 0.563
0.000 4.869 0.000
-0.313 0.000 4.841
Zr Sb Pd
2 2 8
direct
0.000 0.000 0.000
0.500 0.500 0.000
0.500 0.000 0.500
0.000 0.500 0.500
0.836 0.500 0.001
0.664 0.000 0.999
0.336 0.500 0.500
0.164 0.000 0.500
0.164 0.500 0.999
0.336 0.000 0.001
0.664 0.500 0.500
0.836 0.000 0.500
```

***

No. 17
A plane-wave DFT calculation with PBE was carried out for crystalline Ac6P2SeS3 at its relaxed geometry.

Results
E_tot, eV per atom: -6.131
Total magnetization, μB/f.u.: 0.00
Uncorrected formation energy, eV per atom: -1.853
Space group: C2/m, No. 12

```
Ac6P2SeS3
1.0
4.380 0.000 0.000
0.000 8.767 0.349
-2.190 -2.495 9.202
Ac P Se S
6 2 1 3
direct
0.330 0.909 0.659
0.669 0.580 0.338
0.670 0.091 0.341
0.002 0.260 0.004
0.998 0.740 0.996
0.331 0.420 0.662
0.834 0.668 0.668
0.166 0.332 0.332
0.500 0.000 0.000
0.500 0.500 0.000
0.835 0.166 0.670
0.165 0.834 0.330
```

***

No. 18
A plane-wave DFT calculation with PBE was carried out for crystalline KTlV2Br8 at its relaxed geometry.

Results
E_tot, eV per atom: -3.882
Total magnetization, μB/f.u.: 4.00
Uncorrected formation energy, eV per atom: -0.959
Space group: R-3, No. 148

```
KTlV2Br8
1.0
7.284 0.000 0.000
3.642 6.308 0.000
3.642 2.103 9.825
K Tl V Br
1 1 2 8
direct
0.000 0.000 0.000
0.500 0.500 0.500
0.242 0.242 0.275
0.758 0.758 0.725
0.161 0.161 0.516
0.543 0.329 0.198
0.839 0.839 0.484
0.930 0.543 0.198
0.070 0.457 0.802
0.329 0.930 0.198
0.671 0.070 0.802
0.457 0.671 0.802
```

***

No. 19
A plane-wave DFT calculation with PBE was carried out for crystalline LiPrPuO6 at its relaxed geometry.

Results
E_tot, eV per atom: -8.047
Total magnetization, μB/f.u.: 0.07
Uncorrected formation energy, eV per atom: -2.405
Space group: P312, No. 149

```
LiPrPuO6
1.0
5.146 0.000 0.000
0.000 5.370 0.000
0.000 -2.685 4.651
Li Pr Pu O
1 1 1 6
direct
0.500 0.000 0.000
0.000 0.333 0.667
0.500 0.667 0.333
0.717 0.681 0.643
0.717 0.357 0.037
0.717 0.963 0.319
0.283 0.357 0.319
0.283 0.681 0.037
0.283 0.963 0.643
```

***

No. 20
A plane-wave DFT calculation with PBE was carried out for crystalline Tm2USe5 at its relaxed geometry.

Results
E_tot, eV per atom: -6.232
Excess energy over the best structure of this formula in the dataset, kJ per mole of atoms: 0.00
Total magnetization, μB/f.u.: 2.00
Uncorrected formation energy, eV per atom: -1.526
Space group: Cmcm, No. 63

```
Tm2USe5
1.0
-1.211 2.419 -4.868
-1.744 -7.033 0.125
-12.379 3.153 4.646
Tm U Se
4 2 10
direct
0.851 0.703 0.445
0.851 0.703 0.055
0.149 0.297 0.555
0.149 0.297 0.945
0.796 0.592 0.750
0.204 0.408 0.250
0.954 0.908 0.878
0.954 0.908 0.622
0.323 0.645 0.430
0.323 0.645 0.070
0.757 0.514 0.250
0.243 0.486 0.750
0.677 0.355 0.570
0.677 0.355 0.930
0.046 0.092 0.122
0.046 0.092 0.378
```

***

No. 21
A plane-wave DFT calculation with PBE was carried out for crystalline Be2ReSb at its relaxed geometry.

Results
E_tot, eV per atom: -5.614
Total magnetization, μB/f.u.: 0.00
Uncorrected formation energy, eV per atom: 0.391
Space group: C2/m, No. 12

```
Be2ReSb
1.0
-2.085 3.469 -1.911
-3.680 0.578 -2.482
-3.096 1.142 2.864
Re Be Sb
1 2 1
direct
0.750 0.750 0.750
0.028 0.028 0.869
0.472 0.472 0.631
0.250 0.250 0.250
```

***

No. 22
A plane-wave DFT calculation with PBE was carried out for crystalline NaI3Cl at its relaxed geometry.

Results
E_tot, eV per atom: -1.736
Excess energy over the best structure of this formula in the dataset, kJ per mole of atoms: 0.00
Total magnetization, μB/f.u.: 0.00
Uncorrected formation energy, eV per atom: -0.173
Space group: Pm-3m, No. 221

```
NaI3Cl
1.0
-4.278 -2.060 3.420
-0.536 -4.671 -3.484
3.956 -2.860 3.226
I Na Cl
3 1 1
direct
0.000 0.500 0.000
0.000 0.000 0.500
0.500 0.000 0.000
0.500 0.500 0.500
0.000 0.000 0.000
```

***

No. 23
A plane-wave DFT calculation with PBE was carried out for crystalline La2YCoC2 at its relaxed geometry.

Results
E_tot, eV per atom: -7.008
Total magnetization, μB/f.u.: 1.61
Energy of formation, eV per atom: -0.030
Space group: Pnnm, No. 58

```
La2YCoC2
1.0
-0.470 1.438 3.450
0.714 -5.169 2.251
11.229 1.877 0.748
La Y Co C
4 2 2 4
direct
0.500 0.024 0.202
0.000 0.524 0.298
0.500 0.976 0.798
0.000 0.476 0.702
0.500 0.500 0.000
0.000 0.000 0.500
0.000 0.000 0.000
0.500 0.500 0.500
0.500 0.759 0.398
0.500 0.241 0.602
0.000 0.741 0.898
0.000 0.259 0.102
```

***

No. 24
A plane-wave DFT calculation with PBE was carried out for crystalline Sm3HoRu at its relaxed geometry.

Results
E_tot, eV per atom: -5.736
Excess energy over the best structure of this formula in the dataset, kJ per mole of atoms: 0.00
Total magnetization, μB/f.u.: 0.00
Energy of formation, eV per atom: -0.133
Space group: Ima2, No. 46

```
Sm3HoRu
1.0
-5.015 -4.323 -3.363
1.486 -2.903 6.672
-1.818 6.962 1.838
Sm Ho Ru
6 2 2
direct
0.031 0.243 0.710
0.031 0.821 0.289
0.532 0.743 0.711
0.012 0.282 0.230
0.532 0.321 0.290
0.052 0.782 0.770
0.505 0.781 0.224
0.556 0.281 0.776
0.533 0.032 0.002
0.030 0.532 0.998
```